(1)
This record from Alexandria via LeMat-Bulk describes a relaxed AgTeOs2 crystal. The functional is GGA-PBE.

a b c (Å): 3.0434 4.2687 5.5176
angles (deg): 90.00 104.11 90.00
With the nearest neighbours (Å) after each atom.
Element x y z (fractional)
Ag  0.0000  0.0000  0.0000  2 Te 2.81, 8 Os 2.91-2.95, 2 Ag 3.04
Te  0.5000  0.0000  0.5000  4 Os 2.63, 2 Ag 2.81
Os  0.3792  0.5000  0.7548  1 Os 2.63, 2 Te 2.63, 2 Ag 2.91
Os  0.6208  0.5000  0.2452  1 Os 2.63, 2 Te 2.63, 2 Ag 2.91

Computed properties:
Its uncorrected formation energy is 0.98 eV/atom.

=====

(2)
This record from Alexandria via LeMat-Bulk describes a relaxed LaYSc2C crystal. The functional is GGA-PBE.

a b c (Å): 4.7062 4.7062 5.1918
angles (deg): 90.00 90.00 90.00
With the nearest neighbours (Å) after each atom.
Element x y z (fractional)
La  0.0000  0.0000  0.0000  4 Y 3.33, 8 Sc 3.50
Y  0.5000  0.5000  0.0000  2 C 2.60
Sc  0.0000  0.5000  0.5000  2 C 2.35
Sc  0.5000  0.0000  0.5000  2 C 2.35
C  0.5000  0.5000  0.5000  4 Sc 2.35, 2 Y 2.60

Computed properties:
As for the polymorph energy (0 for the lowest one): 0.000 eV per formula unit.

=====

(3)
This record from Alexandria via LeMat-Bulk describes a relaxed La6DyTh crystal. The functional is GGA-PBE.

a b c (Å): 6.7176 6.8144 6.9693
angles (deg): 60.81 88.50 87.01
With the nearest neighbours (Å) after each atom.
Element x y z (fractional)
La  0.2262  0.4597  0.4991  3 La 3.06-3.15
La  0.2558  0.9083  0.0495  4 La 3.15-3.50
La  0.2567  0.4578  0.9492  4 La 3.14-3.50
La  0.7433  0.5422  0.0508  4 La 3.14-3.50
La  0.7442  0.0917  0.9505  4 La 3.15-3.50
La  0.7738  0.5403  0.5009  3 La 3.06-3.15
Dy  0.5000  0.0000  0.5000  2 Th 3.36, 2 La 3.55
Th  0.0000  0.0000  0.5000  2 Dy 3.36, 2 La 3.55

Computed properties:
As for the polymorph energy (0 for the lowest one): 0.912 eV per formula unit.

=====

(4)
This record from Alexandria via LeMat-Bulk describes a relaxed Tb3Co3Os crystal. The functional is GGA-PBE.

a b c (Å): 5.7972 5.7972 13.3284
angles (deg): 111.57 111.57 40.91
With the nearest neighbours (Å) after each atom.
Element x y z (fractional)
Tb  0.0145  0.0145  0.3711  4 Os 2.91-3.22, 6 Co 2.91-2.96
Tb  0.1030  0.1030  0.9251  6 Co 2.87-3.09
Tb  0.2446  0.2446  0.2295  5 Co 2.76-2.88
Tb  0.7554  0.7554  0.7705  5 Co 2.76-2.88
Tb  0.8970  0.8970  0.0749  6 Co 2.87-3.09
Tb  0.9855  0.9855  0.6289  4 Os 2.91-3.22, 6 Co 2.91-2.96
Co  0.3810  0.3810  0.4563  1 Co 2.38, 3 Os 2.42-2.51
Co  0.4031  0.4031  0.9239  2 Co 2.28-2.30
Co  0.4203  0.4203  0.7571  1 Co 2.30, 1 Os 2.41
Co  0.5797  0.5797  0.2429  1 Co 2.30, 1 Os 2.41
Co  0.5969  0.5969  0.0761  2 Co 2.28-2.30
Co  0.6190  0.6190  0.5437  1 Co 2.38, 3 Os 2.42-2.51
Os  0.2498  0.2498  0.5750  4 Co 2.41-2.51
Os  0.7502  0.7502  0.4250  4 Co 2.41-2.51

Computed properties:
The value obtained for the uncorrected energy is -6.765 eV/atom.

=====

(5)
This record from Alexandria via LeMat-Bulk describes a relaxed Ta2SbRu crystal. The functional is GGA-PBE.

a b c (Å): 9.0359 9.0359 9.0359
angles (deg): 19.94 19.94 19.94
With the nearest neighbours (Å) after each atom.
Element x y z (fractional)
Ta  0.0000  0.0000  0.0000  9 Ta 2.92-3.13, 3 Sb 2.99
Ta  0.2469  0.2469  0.2469  3 Ru 2.60
Sb  0.7564  0.7564  0.7564  3 Ru 2.93, 3 Ta 2.99, 6 Sb 3.13
Ru  0.5099  0.5099  0.5099  3 Ta 2.60

Computed properties:
Its uncorrected formation energy is 0.13 eV/atom.

=====

(6)
This record from Alexandria via LeMat-Bulk describes a relaxed LiFeTe2 crystal. The functional is GGA-PBE.

a b c (Å): 5.5824 5.5824 3.1337
angles (deg): 105.53 105.53 87.89
With the nearest neighbours (Å) after each atom.
Element x y z (fractional)
Li  0.0000  0.0000  0.0000  4 Te 2.79
Fe  0.5000  0.5000  0.0000  4 Te 2.79
Te  0.0000  0.5000  0.0000  2 Fe 2.79, 2 Li 2.79
Te  0.5000  0.0000  0.0000  2 Fe 2.79, 2 Li 2.79

Computed properties:
Its uncorrected formation energy is -0.01 eV/atom.

=====

(7)
This record from Alexandria via LeMat-Bulk describes a relaxed AcPm12Rh7 crystal. The functional is GGA-PBE.

a b c (Å): 9.0254 9.0254 9.0254
angles (deg): 107.22 107.22 107.22
With the nearest neighbours (Å) after each atom.
Element x y z (fractional)
Ac  0.0000  0.0000  0.0000  6 Rh 3.03
Pm  0.0738  0.6981  0.2292  3 Rh 2.75-2.85
Pm  0.1592  0.3851  0.4628  3 Rh 2.82-2.86
Pm  0.2292  0.0738  0.6981  3 Rh 2.75-2.85
Pm  0.3019  0.7708  0.9262  3 Rh 2.75-2.85
Pm  0.3851  0.4628  0.1592  3 Rh 2.82-2.86
Pm  0.4628  0.1592  0.3851  3 Rh 2.82-2.86
Pm  0.5372  0.8408  0.6149  3 Rh 2.82-2.86
Pm  0.6149  0.5372  0.8408  3 Rh 2.82-2.86
Pm  0.6981  0.2292  0.0738  3 Rh 2.75-2.85
Pm  0.7708  0.9262  0.3019  3 Rh 2.75-2.85
Pm  0.8408  0.6149  0.5372  3 Rh 2.82-2.86
Pm  0.9262  0.3019  0.7708  3 Rh 2.75-2.85
Rh  0.0428  0.3677  0.1239  5 Pm 2.75-2.86, 1 Ac 3.03
Rh  0.1239  0.0428  0.3677  5 Pm 2.75-2.86, 1 Ac 3.03
Rh  0.3677  0.1239  0.0428  5 Pm 2.75-2.86, 1 Ac 3.03
Rh  0.5000  0.5000  0.5000  6 Pm 2.82
Rh  0.6323  0.8761  0.9572  5 Pm 2.75-2.86, 1 Ac 3.03
Rh  0.8761  0.9572  0.6323  5 Pm 2.75-2.86, 1 Ac 3.03
Rh  0.9572  0.6323  0.8761  5 Pm 2.75-2.86, 1 Ac 3.03

Computed properties:
The value obtained for the uncorrected energy is -6.106 eV/atom.

=====

(8)
This record from Alexandria via LeMat-Bulk describes a relaxed RbTcAs2Br crystal. The functional is GGA-PBE.

a b c (Å): 4.7859 4.7859 5.9501
angles (deg): 90.00 90.00 90.00
With the nearest neighbours (Å) after each atom.
Element x y z (fractional)
Rb  0.0000  0.0000  0.0000  4 Br 3.38
Tc  0.5000  0.5000  0.5000  4 As 2.39
As  0.0000  0.5000  0.5000  2 Tc 2.39
As  0.5000  0.0000  0.5000  2 Tc 2.39
Br  0.5000  0.5000  0.0000  2 Tc 2.98

Computed properties:
Its uncorrected formation energy is -0.22 eV/atom. As for the polymorph energy (0 for the lowest one): 0.000 eV per formula unit.

=====

(9)
This record from Alexandria via LeMat-Bulk describes a relaxed Ga2AgHgN crystal. The functional is GGA-PBE.

a b c (Å): 5.5866 5.5866 3.9350
angles (deg): 90.00 90.00 90.00
With the nearest neighbours (Å) after each atom.
Element x y z (fractional)
Ga  0.0000  0.5000  0.0000  2 Hg 2.79
Ga  0.5000  0.0000  0.0000  2 Hg 2.79
Ag  0.0000  0.0000  0.5000  8 Ga 3.42
Hg  0.5000  0.5000  0.0000  2 N 1.97
N  0.5000  0.5000  0.5000  2 Hg 1.97

Computed properties:
Its uncorrected formation energy is 1.13 eV/atom.

=====

(10)
This record from Alexandria via LeMat-Bulk describes a relaxed SrCaTl2Br6 crystal. The functional is GGA-PBE.

a b c (Å): 8.2520 8.2520 8.2520
angles (deg): 58.42 58.42 58.42
With the nearest neighbours (Å) after each atom.
Element x y z (fractional)
Sr  0.0000  0.0000  0.0000  6 Br 3.04-3.09
Ca  0.4989  0.4989  0.4989  6 Br 2.91-2.94
Tl  0.2876  0.2876  0.2876  6 Br 3.40
Tl  0.7888  0.7888  0.7888  6 Br 3.37-3.41
Br  0.1555  0.7198  0.3537  1 Ca 2.94, 1 Sr 3.04
Br  0.2348  0.6458  0.8384  1 Ca 2.91, 1 Sr 3.09
Br  0.3537  0.1555  0.7198  1 Ca 2.94, 1 Sr 3.04
Br  0.6458  0.8384  0.2348  1 Ca 2.91, 1 Sr 3.09
Br  0.7198  0.3537  0.1555  1 Ca 2.94, 1 Sr 3.04
Br  0.8384  0.2348  0.6458  1 Ca 2.91, 1 Sr 3.09

Computed properties:
Its uncorrected formation energy is -1.59 eV/atom.

=====

(11)
This record from Alexandria via LeMat-Bulk describes a relaxed Ca2TlI crystal. The functional is GGA-PBE.

a b c (Å): 7.2325 7.2325 7.2325
angles (deg): 107.93 107.93 112.61
With the nearest neighbours (Å) after each atom.
Element x y z (fractional)
Ca  0.1232  0.6250  0.9982  2 Tl 3.16, 2 I 3.18
Ca  0.3750  0.3732  0.4982  2 Tl 3.16, 2 I 3.18
Ca  0.6268  0.1250  0.0018  2 Tl 3.16, 2 I 3.18
Ca  0.8750  0.8768  0.5018  2 Tl 3.16, 2 I 3.18
Tl  0.0000  0.0000  0.0000  4 Ca 3.16
Tl  0.7500  0.2500  0.5000  4 Ca 3.16
I  0.2500  0.7500  0.5000  4 Ca 3.18
I  0.5000  0.5000  0.0000  4 Ca 3.18

Computed properties:
Its uncorrected formation energy is -0.49 eV/atom. As for the polymorph energy (0 for the lowest one): 1.049 eV per formula unit.

=====

(12)
This record from Alexandria via LeMat-Bulk describes a relaxed Tb3YHo6Th2 crystal. The functional is GGA-PBE.

a b c (Å): 6.1500 6.1500 11.7333
angles (deg): 95.02 95.02 119.97
With the nearest neighbours (Å) after each atom.
Element x y z (fractional)
Tb  0.0000  0.0000  0.0000  6 Ho 3.54-3.57, 6 Tb 3.55
Tb  0.3337  0.6663  0.0000  6 Tb 3.54-3.56, 6 Ho 3.55-3.57
Tb  0.6663  0.3337  0.0000  6 Tb 3.54-3.56, 6 Ho 3.55-3.57
Y  0.5000  0.5000  0.5000  6 Ho 3.54, 6 Th 3.55
Ho  0.0795  0.4169  0.2519  2 Th 3.52, 6 Ho 3.53-3.60, 1 Y 3.54, 3 Tb 3.55-3.57
Ho  0.2454  0.2454  0.7484  2 Th 3.52, 6 Ho 3.53-3.60, 1 Y 3.54, 3 Tb 3.54-3.56
Ho  0.4169  0.0795  0.2519  2 Th 3.52, 6 Ho 3.53-3.60, 1 Y 3.54, 3 Tb 3.55-3.57
Ho  0.5831  0.9205  0.7481  2 Th 3.52, 6 Ho 3.53-3.60, 1 Y 3.54, 3 Tb 3.55-3.57
Ho  0.7546  0.7546  0.2516  2 Th 3.52, 6 Ho 3.53-3.60, 1 Y 3.54, 3 Tb 3.54-3.56
Ho  0.9205  0.5831  0.7481  2 Th 3.52, 6 Ho 3.53-3.60, 1 Y 3.54, 3 Tb 3.55-3.57
Th  0.1666  0.8334  0.5000  6 Ho 3.52, 3 Th 3.55, 3 Y 3.55
Th  0.8334  0.1666  0.5000  6 Ho 3.52, 3 Th 3.55, 3 Y 3.55

Computed properties:
The value obtained for the uncorrected energy is -5.198 eV/atom.